(1)
# Rb3Y3PuSe8

An optimized crystal structure of Rb3Y3PuSe8 (PBE-GGA, Alexandria).

* ΔE_f (raw): -1.647 eV per atom
* total moment: 4.000 μB per cell

a b c (Å): 9.4756 9.4756 9.4756
angles (deg): 52.65 52.65 52.65
Closest atoms and distances in Å follow each position.
Element x y z (fractional)
Rb 0.0000 0.5000 0.5000  6 Se 3.47-3.49
Rb 0.5000 0.0000 0.5000  6 Se 3.47-3.49
Rb 0.5000 0.5000 0.0000  6 Se 3.47-3.49
Y 0.0000 0.0000 0.5000  6 Se 2.89-2.90
Y 0.0000 0.5000 0.0000  6 Se 2.89-2.90
Y 0.5000 0.0000 0.0000  6 Se 2.89-2.90
Pu 0.5000 0.5000 0.5000  6 Se 2.86
Se 0.2316 0.2316 0.2316  3 Y 2.90
Se 0.2342 0.7284 0.7284  1 Pu 2.86, 2 Y 2.89
Se 0.2716 0.2716 0.7658  1 Pu 2.86, 2 Y 2.89
Se 0.2716 0.7658 0.2716  1 Pu 2.86, 2 Y 2.89
Se 0.7284 0.2342 0.7284  1 Pu 2.86, 2 Y 2.89
Se 0.7284 0.7284 0.2342  1 Pu 2.86, 2 Y 2.89
Se 0.7658 0.2716 0.2716  1 Pu 2.86, 2 Y 2.89
Se 0.7684 0.7684 0.7684  3 Y 2.90

(2)
# Rb4Y3PuSe8

An optimized crystal structure of Rb4Y3PuSe8 (PBE-GGA, Alexandria).

* ΔE_f (raw): -1.662 eV per atom
* total moment: 5.000 μB per cell

a b c (Å): 9.3857 9.3857 9.3857
angles (deg): 54.13 54.13 54.13
Closest atoms and distances in Å follow each position.
Element x y z (fractional)
Rb 0.0000 0.0000 0.0000  6 Se 3.44
Rb 0.0000 0.5000 0.5000  6 Se 3.46-3.47
Rb 0.5000 0.0000 0.5000  6 Se 3.46-3.47
Rb 0.5000 0.5000 0.0000  6 Se 3.46-3.47
Y 0.0000 0.0000 0.5000  6 Se 2.91-2.92
Y 0.0000 0.5000 0.0000  6 Se 2.91-2.92
Y 0.5000 0.0000 0.0000  6 Se 2.91-2.92
Pu 0.5000 0.5000 0.5000  6 Se 2.94
Se 0.2283 0.7336 0.7336  2 Y 2.91, 1 Pu 2.94
Se 0.2320 0.2320 0.2320  3 Y 2.92
Se 0.2664 0.2664 0.7717  2 Y 2.91, 1 Pu 2.94
Se 0.2664 0.7717 0.2664  2 Y 2.91, 1 Pu 2.94
Se 0.7336 0.2283 0.7336  2 Y 2.91, 1 Pu 2.94
Se 0.7336 0.7336 0.2283  2 Y 2.91, 1 Pu 2.94
Se 0.7680 0.7680 0.7680  3 Y 2.92
Se 0.7717 0.2664 0.2664  2 Y 2.91, 1 Pu 2.94

(3)
# Rb3Y2PuSe6

An optimized crystal structure of Rb3Y2PuSe6 (PBE-GGA, Alexandria).

* ΔE_f (raw): -1.632 eV per atom
* total moment: 5.000 μB per cell

a b c (Å): 7.4170 7.4170 8.3504
angles (deg): 98.51 98.51 120.00
Closest atoms and distances in Å follow each position.
Element x y z (fractional)
Rb 0.0000 0.0000 0.0000  6 Se 3.45-3.48
Rb 0.3335 0.6665 0.0000  6 Se 3.45-3.48
Rb 0.6665 0.3335 0.0000  6 Se 3.45-3.48
Y 0.1667 0.8333 0.5000  6 Se 2.91
Y 0.8333 0.1667 0.5000  6 Se 2.91
Pu 0.5000 0.5000 0.5000  6 Se 2.95
Se 0.0978 0.4348 0.3044  2 Y 2.91, 1 Pu 2.95
Se 0.2282 0.2282 0.6956  2 Y 2.91, 1 Pu 2.95
Se 0.4348 0.0978 0.3044  2 Y 2.91, 1 Pu 2.95
Se 0.5652 0.9022 0.6956  2 Y 2.91, 1 Pu 2.95
Se 0.7718 0.7718 0.3044  2 Y 2.91, 1 Pu 2.95
Se 0.9022 0.5652 0.6956  2 Y 2.91, 1 Pu 2.95

(4)
# Rb2YPuSe4

An optimized crystal structure of Rb2YPuSe4 (PBE-GGA, Alexandria).

* ΔE_f (raw): -1.585 eV per atom
* total moment: 5.000 μB per cell

a b c (Å): 7.4387 4.2867 8.3466
angles (deg): 90.00 107.27 90.00
Closest atoms and distances in Å follow each position.
Element x y z (fractional)
Rb 0.0000 0.0000 0.0000  6 Se 3.44-3.47
Rb 0.5000 0.5000 0.0000  6 Se 3.47-3.49
Y 0.0000 0.5000 0.5000  6 Se 2.91-2.92
Pu 0.5000 0.0000 0.5000  6 Se 2.93-2.96
Se 0.2282 0.0000 0.6962  2 Y 2.92, 1 Pu 2.96
Se 0.2660 0.5000 0.3053  1 Y 2.91, 2 Pu 2.93
Se 0.7340 0.5000 0.6947  1 Y 2.91, 2 Pu 2.93
Se 0.7718 0.0000 0.3038  2 Y 2.92, 1 Pu 2.96

(5)
# Rb2Pu2ZnSe6

An optimized crystal structure of Rb2Pu2ZnSe6 (PBE-GGA, Alexandria).

* ΔE_f (raw): -1.115 eV per atom
* total moment: 8.000 μB per cell

a b c (Å): 7.3178 7.3178 8.5050
angles (deg): 97.40 97.40 123.33
Closest atoms and distances in Å follow each position.
Element x y z (fractional)
Rb 0.1573 0.8427 0.0000  6 Se 3.45-3.51
Rb 0.8427 0.1573 0.0000  6 Se 3.45-3.51
Pu 0.3341 0.6659 0.5000  6 Se 2.78-2.90
Pu 0.6659 0.3341 0.5000  6 Se 2.78-2.90
Zn 0.0000 0.0000 0.5000  2 Se 2.48
Se 0.0579 0.4133 0.6926  2 Pu 2.78-2.82, 1 Zn 3.02
Se 0.2414 0.2414 0.3326  1 Zn 2.48
Se 0.4133 0.0579 0.6926  2 Pu 2.78-2.82, 1 Zn 3.02
Se 0.5867 0.9421 0.3074  2 Pu 2.78-2.82, 1 Zn 3.02
Se 0.7586 0.7586 0.6674  1 Zn 2.48
Se 0.9421 0.5867 0.3074  2 Pu 2.78-2.82, 1 Zn 3.02

(6)
# Rb2PuZn2Se4

An optimized crystal structure of Rb2PuZn2Se4 (PBE-GGA, Alexandria).

* ΔE_f (raw): -1.021 eV per atom
* total moment: 5.775 μB per cell

a b c (Å): 8.1861 8.1861 8.1977
angles (deg): 107.81 107.81 30.40
Closest atoms and distances in Å follow each position.
Element x y z (fractional)
Rb 0.1298 0.1298 0.0527  7 Se 3.53-3.74, 1 Rb 3.92
Rb 0.8702 0.8702 0.9473  7 Se 3.53-3.74, 1 Rb 3.92
Pu 0.0000 0.0000 0.5000  6 Se 2.98-3.09
Zn 0.3301 0.3301 0.5179  4 Se 2.47-2.61
Zn 0.6699 0.6699 0.4821  4 Se 2.47-2.61
Se 0.2050 0.2050 0.6637  3 Zn 2.57-2.61
Se 0.4796 0.4796 0.7361  1 Zn 2.47
Se 0.5204 0.5204 0.2639  1 Zn 2.47
Se 0.7950 0.7950 0.3363  3 Zn 2.57-2.61

(7)
# Rb2Pu2ZrSe6

An optimized crystal structure of Rb2Pu2ZrSe6 (PBE-GGA, Alexandria).

* ΔE_f (raw): -1.426 eV per atom
* total moment: 10.000 μB per cell

a b c (Å): 7.1356 7.1356 8.5291
angles (deg): 98.24 98.24 119.63
Closest atoms and distances in Å follow each position.
Element x y z (fractional)
Rb 0.1694 0.8306 0.0000  6 Se 3.45-3.52
Rb 0.8306 0.1694 0.0000  6 Se 3.45-3.52
Pu 0.3333 0.6667 0.5000  6 Se 2.89-2.90
Pu 0.6667 0.3333 0.5000  6 Se 2.89-2.90
Zr 0.0000 0.0000 0.5000  6 Se 2.75
Se 0.0658 0.3827 0.6903  1 Zr 2.75, 2 Pu 2.90
Se 0.2521 0.2521 0.3105  1 Zr 2.75, 2 Pu 2.89
Se 0.3827 0.0658 0.6903  1 Zr 2.75, 2 Pu 2.90
Se 0.6173 0.9342 0.3097  1 Zr 2.75, 2 Pu 2.90
Se 0.7479 0.7479 0.6895  1 Zr 2.75, 2 Pu 2.89
Se 0.9342 0.6173 0.3097  1 Zr 2.75, 2 Pu 2.90

(8)
# Rb3Pu3ZrSe8

An optimized crystal structure of Rb3Pu3ZrSe8 (PBE-GGA, Alexandria).

* ΔE_f (raw): -1.434 eV per atom
* total moment: 15.000 μB per cell

a b c (Å): 9.4569 9.4569 9.4569
angles (deg): 52.61 52.61 52.61
Closest atoms and distances in Å follow each position.
Element x y z (fractional)
Rb 0.0000 0.5000 0.5000  6 Se 3.46-3.47
Rb 0.5000 0.0000 0.5000  6 Se 3.46-3.47
Rb 0.5000 0.5000 0.0000  6 Se 3.46-3.47
Pu 0.0000 0.0000 0.5000  6 Se 2.89-2.91
Pu 0.0000 0.5000 0.0000  6 Se 2.89-2.91
Pu 0.5000 0.0000 0.0000  6 Se 2.89-2.91
Zr 0.5000 0.5000 0.5000  6 Se 2.76
Se 0.2317 0.2317 0.2317  3 Pu 2.89
Se 0.2460 0.7208 0.7208  1 Zr 2.76, 2 Pu 2.91
Se 0.2792 0.2792 0.7540  1 Zr 2.76, 2 Pu 2.91
Se 0.2792 0.7540 0.2792  1 Zr 2.76, 2 Pu 2.91
Se 0.7208 0.2460 0.7208  1 Zr 2.76, 2 Pu 2.91
Se 0.7208 0.7208 0.2460  1 Zr 2.76, 2 Pu 2.91
Se 0.7540 0.2792 0.2792  1 Zr 2.76, 2 Pu 2.91
Se 0.7683 0.7683 0.7683  3 Pu 2.89

(9)
# Rb2PuZrSe4

An optimized crystal structure of Rb2PuZrSe4 (PBE-GGA, Alexandria).

* ΔE_f (raw): -1.376 eV per atom
* total moment: 5.862 μB per cell

a b c (Å): 7.1977 4.1375 8.3614
angles (deg): 90.00 106.46 90.00
Closest atoms and distances in Å follow each position.
Element x y z (fractional)
Rb 0.0000 0.0000 0.0000  6 Se 3.48-3.50
Rb 0.5000 0.5000 0.0000  6 Se 3.36-3.38
Pu 0.0000 0.5000 0.5000  6 Se 2.92-2.94
Zr 0.5000 0.0000 0.5000  6 Se 2.77-2.81
Se 0.2485 0.0000 0.6964  1 Zr 2.77, 2 Pu 2.92
Se 0.2836 0.5000 0.3075  2 Zr 2.81, 1 Pu 2.94
Se 0.7164 0.5000 0.6925  2 Zr 2.81, 1 Pu 2.94
Se 0.7515 0.0000 0.3036  1 Zr 2.77, 2 Pu 2.92

(10)
# Rb3Pu2ZrSe6

An optimized crystal structure of Rb3Pu2ZrSe6 (PBE-GGA, Alexandria).

* ΔE_f (raw): -1.409 eV per atom
* total moment: 11.001 μB per cell

a b c (Å): 7.2962 7.2962 8.3517
angles (deg): 98.39 98.39 120.00
Closest atoms and distances in Å follow each position.
Element x y z (fractional)
Rb 0.0000 0.0000 0.0000  6 Se 3.41-3.53
Rb 0.3304 0.6696 0.0000  6 Se 3.41-3.51
Rb 0.6696 0.3304 0.0000  6 Se 3.41-3.51
Pu 0.1664 0.8336 0.5000  6 Se 2.94
Pu 0.8336 0.1664 0.5000  6 Se 2.94
Zr 0.5000 0.5000 0.5000  6 Se 2.78
Se 0.1187 0.4352 0.3058  1 Zr 2.78, 2 Pu 2.94
Se 0.2488 0.2488 0.6950  1 Zr 2.78, 2 Pu 2.94
Se 0.4352 0.1187 0.3058  1 Zr 2.78, 2 Pu 2.94
Se 0.5648 0.8813 0.6942  1 Zr 2.78, 2 Pu 2.94
Se 0.7512 0.7512 0.3050  1 Zr 2.78, 2 Pu 2.94
Se 0.8813 0.5648 0.6942  1 Zr 2.78, 2 Pu 2.94

> Which of these has the lowest ΔE_f (raw)?

Rb4Y3PuSe8

> Number 8 is which compound?

Rb3Pu3ZrSe8